1.
First-principles (GGA-PBE) data for a geometry-optimized Hf6Ga2Bi structure, as listed in the Alexandria database.

The density of states at the Fermi level comes out at 5.43 states/eV/f.u. The calculation puts the final energy at -141.93 eV per cell.

It has space group Pnnm (No. 58), with a = 8.287 Å, b = 9.037 Å, c = 5.114 Å, α = 90.00°, β = 90.00° and γ = 90.00°. The asymmetric unit holds Hf at (0.026, 0.168, 0.000), Hf at (0.163, 0.086, 0.500), Hf at (0.181, 0.427, 0.500), Ga at (0.142, 0.754, 0.500) and Bi at (0.000, 0.500, 0.000).

2.
First-principles (GGA-PBE) data for a geometry-optimized HfGaBi3 structure, as listed in the Alexandria database.

As for the polymorph energy (0 for the lowest one): 0.0000 eV/atom. The density of states at the Fermi level comes out at 3.22 states/eV/f.u. The calculation puts the final energy at -22.91 eV per cell.

It has space group Pm-3m (No. 221), with a = 5.661 Å, b = 5.661 Å, c = 5.661 Å, α = 90.00°, β = 90.00° and γ = 90.00°. The asymmetric unit holds Hf at (0.000, 0.000, 0.000), Ga at (0.500, 0.500, 0.500) and Bi at (0.000, 0.000, 0.500).

- Look up the final energy of the second one.
  -22.91 eV per cell

- Look up the final energy of the first one.
  -141.93 eV per cell

- The lowest final energy belongs to which entry?
  Hf6Ga2Bi

- Among the records above, which one has the lowest final energy?
  Hf6Ga2Bi